(1)
First-principles (PBE) data for crystalline Hf3Be3Ge2 at its relaxed geometry, as listed in Alexandria via LeMat-Bulk.

Computed properties:
size of the total moment: 0.000 μB/atom
uncorrected energy: -6.718 eV per atom
energy relative to the elements: -434 meV/atom

a = 3.7398 Å, b = 9.7331 Å, c = 13.1385 Å
α = 90.00°, β = 90.00°, γ = 90.00°
Last column: nearest neighbours and their distance in Å.
Space group Cmcm (No. 63)
One atom of each set of equivalent atoms:
Hf: 0.0000 0.0763 0.1151 (multiplicity 8)  6 Be 2.67-2.77, 3 Ge 2.77-2.81
Hf: 0.0000 0.3715 0.2500 (multiplicity 4)  5 Be 2.71-2.86, 4 Ge 2.79
Be: 0.0000 0.3503 0.7500 (multiplicity 4)  2 Ge 2.36
Be: 0.0000 0.4007 0.0394 (multiplicity 8)  1 Be 2.19, 2 Ge 2.31
Ge: 0.0000 0.2083 0.6043 (multiplicity 8)  3 Be 2.31-2.36



(2)
First-principles (PBE) data for crystalline Hf2BeGe at its relaxed geometry, as listed in Alexandria via LeMat-Bulk.

Computed properties:
size of the total moment: 0.000 μB/atom
uncorrected energy: -7.285 eV per atom
energy relative to the elements: -223 meV/atom

a = 3.6233 Å, b = 3.6233 Å, c = 18.6621 Å
α = 90.00°, β = 90.00°, γ = 120.00°
Last column: nearest neighbours and their distance in Å.
Space group R3m (No. 160, hexagonal axes)
One atom of each set of equivalent atoms:
Hf: 0.0000 0.0000 0.0000 (multiplicity 3)  3 Ge 2.84, 3 Be 2.85
Hf: 0.0000 0.0000 0.2049 (multiplicity 3)  3 Be 2.82, 3 Ge 2.83
Be: 0.0000 0.0000 0.7700 (multiplicity 3)  3 Ge 2.09
Ge: 0.0000 0.0000 0.4359 (multiplicity 3)  3 Be 2.09



(3)
First-principles (PBE) data for crystalline HfBeGe3 at its relaxed geometry, as listed in Alexandria via LeMat-Bulk.

Computed properties:
size of the total moment: 0.000 μB/atom
uncorrected energy: -5.052 eV per atom
energy relative to the elements: 454 meV/atom

a = 4.4806 Å, b = 4.4806 Å, c = 4.4806 Å
α = 90.00°, β = 90.00°, γ = 90.00°
Last column: nearest neighbours and their distance in Å.
Space group Pm-3m (No. 221)
One atom of each set of equivalent atoms:
Hf: 0.0000 0.0000 0.0000 (multiplicity 1)  12 Ge 3.17
Be: 0.5000 0.5000 0.5000 (multiplicity 1)  6 Ge 2.24
Ge: 0.0000 0.5000 0.5000 (multiplicity 3)  2 Be 2.24



(4)
First-principles (PBE) data for crystalline Hf4BeGe at its relaxed geometry, as listed in Alexandria via LeMat-Bulk.

Computed properties:
size of the total moment: 0.000 μB/atom
uncorrected energy: -8.358 eV per atom
energy relative to the elements: -331 meV/atom

a = 6.5031 Å, b = 6.5031 Å, c = 5.2883 Å
α = 90.00°, β = 90.00°, γ = 90.00°
Last column: nearest neighbours and their distance in Å.
Space group P4/mcc (No. 124)
One atom of each set of equivalent atoms:
Hf: 0.1489 0.3336 0.0000 (multiplicity 8)  2 Be 2.72, 2 Ge 2.85, 1 Hf 2.90
Be: 0.0000 0.0000 0.2500 (multiplicity 2)  2 Be 2.64, 8 Hf 2.72
Ge: 0.5000 0.5000 0.2500 (multiplicity 2)  2 Ge 2.64, 8 Hf 2.85



(5)
First-principles (PBE) data for crystalline Hf3BeGe2 at its relaxed geometry, as listed in Alexandria via LeMat-Bulk.

Computed properties:
size of the total moment: 0.000 μB/atom
uncorrected energy: -7.757 eV per atom
energy relative to the elements: -620 meV/atom

a = 10.6912 Å, b = 3.7113 Å, c = 10.4486 Å
α = 90.00°, β = 90.00°, γ = 90.00°
Last column: nearest neighbours and their distance in Å.
Space group Pnma (No. 62)
One atom of each set of equivalent atoms:
Hf: 0.0492 0.2500 0.1199 (multiplicity 4)  5 Ge 2.74-2.87, 1 Be 2.78
Hf: 0.1171 0.7500 0.5610 (multiplicity 4)  3 Be 2.70-2.73, 5 Ge 2.76-2.82
Hf: 0.2124 0.2500 0.7875 (multiplicity 4)  2 Be 2.66, 4 Ge 2.76-2.86
Be: 0.1296 0.2500 0.3731 (multiplicity 4)  3 Ge 2.25-2.27
Ge: 0.0268 0.7500 0.3111 (multiplicity 4)  2 Be 2.25
Ge: 0.1948 0.7500 0.9953 (multiplicity 4)  1 Be 2.27



(6)
First-principles (PBE) data for crystalline Hf2Be3Ge at its relaxed geometry, as listed in Alexandria via LeMat-Bulk.

Computed properties:
size of the total moment: 0.000 μB/atom
uncorrected energy: -6.333 eV per atom
energy relative to the elements: -382 meV/atom

a = 3.4826 Å, b = 3.7229 Å, c = 6.4711 Å
α = 90.00°, β = 90.00°, γ = 90.00°
Last column: nearest neighbours and their distance in Å.
Space group Pmm2 (No. 25)
One atom of each set of equivalent atoms:
Hf: 0.0000 0.0000 0.0000 (multiplicity 1)  8 Be 2.70-2.90, 4 Ge 2.80
Hf: 0.0000 0.5000 0.4772 (multiplicity 1)  10 Be 2.66-2.76, 2 Ge 2.83
Be: 0.5000 0.0000 0.3184 (multiplicity 1)  3 Be 2.09-2.11
Be: 0.5000 0.0000 0.6413 (multiplicity 1)  1 Be 2.09, 2 Ge 2.20
Be: 0.5000 0.5000 0.1654 (multiplicity 1)  2 Be 2.11, 1 Ge 2.22
Ge: 0.5000 0.5000 0.8224 (multiplicity 1)  3 Be 2.20-2.22



(7)
First-principles (PBE) data for crystalline Hf2BeGe at its relaxed geometry, as listed in Alexandria via LeMat-Bulk.

Computed properties:
size of the total moment: 0.000 μB/atom
uncorrected energy: -7.155 eV per atom
energy relative to the elements: -93 meV/atom

a = 6.5000 Å, b = 6.5000 Å, c = 6.5000 Å
α = 90.00°, β = 90.00°, γ = 90.00°
Last column: nearest neighbours and their distance in Å.
Space group Fm-3m (No. 225)
One atom of each set of equivalent atoms:
Hf: 0.2500 0.2500 0.2500 (multiplicity 8)  4 Ge 2.81, 4 Be 2.81
Be: 0.0000 0.0000 0.0000 (multiplicity 4)  8 Hf 2.81
Ge: 0.0000 0.0000 0.5000 (multiplicity 4)  8 Hf 2.81



(8)
First-principles (PBE) data for crystalline Hf2Be2Ge at its relaxed geometry, as listed in Alexandria via LeMat-Bulk.

Computed properties:
size of the total moment: 0.000 μB/atom
uncorrected energy: -6.762 eV per atom
energy relative to the elements: -367 meV/atom

a = 6.2064 Å, b = 6.2064 Å, c = 3.8522 Å
α = 90.00°, β = 90.00°, γ = 90.00°
Last column: nearest neighbours and their distance in Å.
Space group P4/mbm (No. 127)
One atom of each set of equivalent atoms:
Hf: 0.1721 0.3279 0.0000 (multiplicity 4)  6 Be 2.66
Be: 0.1192 0.6192 0.5000 (multiplicity 4)  1 Be 2.09
Ge: 0.0000 0.0000 0.5000 (multiplicity 2)  4 Be 2.48



(9)
First-principles (PBE) data for crystalline Hf2BeGe2 at its relaxed geometry, as listed in Alexandria via LeMat-Bulk.

Computed properties:
size of the total moment: 0.000 μB/atom
uncorrected energy: -7.128 eV per atom
energy relative to the elements: -555 meV/atom

a = 9.9126 Å, b = 3.7739 Å, c = 9.6790 Å
α = 90.00°, β = 116.66°, γ = 90.00°
Last column: nearest neighbours and their distance in Å.
Space group C2/m (No. 12)
One atom of each set of equivalent atoms:
Hf: 0.0089 0.0000 0.1709 (multiplicity 4)  6 Ge 2.73-2.87, 3 Be 2.80-2.86
Hf: 0.1908 0.0000 0.6121 (multiplicity 4)  6 Ge 2.74-2.91, 2 Be 2.74
Be: 0.2058 0.5000 0.8237 (multiplicity 4)  3 Ge 2.28-2.31
Ge: 0.0313 0.5000 0.3843 (multiplicity 4)  1 Be 2.31, 1 Ge 2.58
Ge: 0.1601 0.5000 0.0657 (multiplicity 4)  2 Be 2.28



(10)
First-principles (PBE) data for crystalline Hf4BeGe at its relaxed geometry, as listed in Alexandria via LeMat-Bulk.

Computed properties:
size of the total moment: 0.000 μB/atom
uncorrected energy: -8.391 eV per atom
energy relative to the elements: -364 meV/atom

a = 6.5726 Å, b = 6.5726 Å, c = 5.1813 Å
α = 90.00°, β = 90.00°, γ = 90.00°
Last column: nearest neighbours and their distance in Å.
Space group I422 (No. 97)
One atom of each set of equivalent atoms:
Hf: 0.1558 0.3442 0.2500 (multiplicity 8)  2 Ge 2.80, 2 Be 2.80, 3 Hf 2.90-3.13
Be: 0.0000 0.0000 0.5000 (multiplicity 2)  2 Ge 2.59, 8 Hf 2.80
Ge: 0.0000 0.0000 0.0000 (multiplicity 2)  2 Be 2.59, 8 Hf 2.80



(11)
First-principles (PBE) data for crystalline Hf2Be3Ge at its relaxed geometry, as listed in Alexandria via LeMat-Bulk.

Computed properties:
size of the total moment: 0.000 μB/atom
uncorrected energy: -6.339 eV per atom
energy relative to the elements: -388 meV/atom

a = 6.7904 Å, b = 7.5566 Å, c = 13.0468 Å
α = 90.00°, β = 90.00°, γ = 90.00°
Last column: nearest neighbours and their distance in Å.
Space group Fmmm (No. 69)
One atom of each set of equivalent atoms:
Hf: 0.2457 0.0000 0.0000 (multiplicity 8)  10 Be 2.69-2.81, 2 Ge 2.78
Hf: 0.2500 0.2500 0.2500 (multiplicity 8)  4 Ge 2.76, 8 Be 2.78-2.79
Be: 0.0000 0.0000 0.1619 (multiplicity 8)  2 Be 2.11, 1 Ge 2.24
Be: 0.0000 0.2420 0.0813 (multiplicity 16)  2 Be 2.11-2.12, 1 Ge 2.25
Ge: 0.0000 0.0000 0.3333 (multiplicity 8)  3 Be 2.24-2.25



(12)
First-principles (PBE) data for crystalline Hf2BeGe at its relaxed geometry, as listed in Alexandria via LeMat-Bulk.

Computed properties:
size of the total moment: 0.000 μB/atom
uncorrected energy: -7.613 eV per atom
energy relative to the elements: -550 meV/atom

a = 5.2745 Å, b = 3.6110 Å, c = 7.5107 Å
α = 90.00°, β = 109.65°, γ = 90.00°
Last column: nearest neighbours and their distance in Å.
Space group P2_1/m (No. 11)
One atom of each set of equivalent atoms:
Hf: 0.2090 0.2500 0.4204 (multiplicity 2)  3 Be 2.67-2.89, 4 Ge 2.76-2.82
Hf: 0.2672 0.7500 0.0677 (multiplicity 2)  4 Be 2.69-2.95, 3 Ge 2.77-2.84
Be: 0.1399 0.2500 0.7859 (multiplicity 2)  2 Ge 2.30
Ge: 0.3582 0.7500 0.7155 (multiplicity 2)  2 Be 2.30